Material: TbTmSnHg
Method: DFT, PBE
State: optimized geometry

Cell lengths 3.783, 3.783, 7.260 Å; angles 90.00, 90.00, 90.00 degrees
Sites, in units of the cell vectors:
Tm  0.500  0.500  0.112
Hg  0.000  0.000  0.349
Sn  0.000  0.000  0.863
Tb  0.500  0.500  0.605

Output
formation energy	-0.543	eV/atom
DOS(E_F)	0.538	states/eV/atom
M_tot	0.000	μB per formula unit
theoretical density	10344	kg/m³
SG	No. 99
VASP energy	-3.895	eV/atom


Material: TbYSnHg
Method: DFT, PBE
State: optimized geometry

Cell lengths 5.299, 5.299, 5.299 Å; angles 60.00, 60.00, 60.00 degrees
Sites, in units of the cell vectors:
Hg  0.500  0.500  0.500
Y  0.750  0.750  0.750
Tb  0.250  0.250  0.250
Sn  0.000  0.000  0.000

Output
formation energy	-0.584	eV/atom
DOS(E_F)	0.773	states/eV/atom
polymorph energy (0 for the lowest one)	0	meV/atom
M_tot	0.000	μB per formula unit
theoretical density	8952	kg/m³
SG	No. 216
VASP energy	-4.434	eV/atom


Which of these has the highest theoretical density? TbTmSnHg


The lowest DOS(E_F) belongs to which entry? TbTmSnHg


The lowest VASP energy belongs to which entry? TbYSnHg